A plane-wave DFT calculation with PBE was carried out for a geometry-optimized CaPuCl5 structure.

Cell lengths 7.263, 7.263, 10.206 Å; angles 110.62, 110.62, 71.58 degrees
Element x y z (fractional)
Ca: 0.032 0.968 0.750
Ca: 0.968 0.032 0.250
Pu: 0.500 0.500 0.000
Pu: 0.500 0.500 0.500
Cl: 0.159 0.780 0.040
Cl: 0.198 0.307 0.358
Cl: 0.220 0.841 0.460
Cl: 0.307 0.198 0.858
Cl: 0.374 0.626 0.750
Cl: 0.626 0.374 0.250
Cl: 0.693 0.802 0.142
Cl: 0.780 0.159 0.540
Cl: 0.802 0.693 0.642
Cl: 0.841 0.220 0.960

Calculated values
* energy relative to the elements, uncorrected: -2.046 eV per atom
* density: 3.33 g/cm³
* D(E_F): 20.18 states/eV/cell
* M_tot: 10.0 Bohr magnetons per cell